Entry from the Alexandria database: crystalline LiCr4In4O12 at its relaxed geometry (PBE with a Hubbard U).

POSCAR file:
```
LiCr4In4O12
1.0
5.322 0.000 0.000
0.063 5.484 0.000
0.363 0.162 8.050
Li Cr In O
1 4 4 12
Cartesian
0.000 0.000 0.000
1.996 0.770 4.507
2.152 0.532 0.605
4.752 3.544 4.471
4.631 3.187 0.437
1.940 3.161 2.505
2.305 3.795 6.679
4.564 1.176 6.198
4.692 0.456 2.720
0.273 1.508 1.074
0.406 1.891 3.981
0.994 4.648 3.768
1.103 4.172 0.796
1.331 0.331 6.362
2.678 1.163 2.655
3.098 2.496 5.082
3.418 2.322 7.893
3.770 5.242 4.848
4.023 5.043 7.755
4.044 3.805 2.428
5.547 3.124 6.453
```

Results
For the energy above the most stable polymorph in this dataset, the calculation gives 0.3 kJ per mole of atoms. The calculation puts the energy at -6.493 eV/atom. The density of states at the Fermi level is 0.114 states/eV/atom.